# VBrF2, relaxed, DFT GGA+U
data_VBrF2
_chemical_formula_sum 'V4 Br4 F8'
_space_group_name_H-M_alt 'I 41/a m d'
_space_group_IT_number 141
_cell_length_a 6.185
_cell_length_b 6.185
_cell_length_c 8.987
_cell_angle_alpha 90.00
_cell_angle_beta 90.00
_cell_angle_gamma 90.00
loop_
_space_group_symop_operation_xyz
'x,y,z'
'-x,-y,-z'
'-y+1/4,x+3/4,z+1/4'
'y+1/4,-x+3/4,-z+1/4'
'-x+1/2,-y,z+1/2'
'x+1/2,y,-z+1/2'
'y+1/4,-x+1/4,z+3/4'
'-y+1/4,x+1/4,-z+3/4'
'x,-y,-z'
'-x,y,z'
'-y+1/4,-x+1/4,-z+3/4'
'y+1/4,x+1/4,z+3/4'
'-x+1/2,y,-z+1/2'
'x+1/2,-y,z+1/2'
'y+1/4,x+3/4,-z+1/4'
'-y+1/4,-x+3/4,z+1/4'
'x+1/2,y+1/2,z+1/2'
'-x+1/2,-y+1/2,-z+1/2'
'-y+3/4,x+1/4,z+3/4'
'y+3/4,-x+1/4,-z+3/4'
'-x,-y+1/2,z'
'x,y+1/2,-z'
'y+3/4,-x+3/4,z+1/4'
'-y+3/4,x+3/4,-z+1/4'
'x+1/2,-y+1/2,-z+1/2'
'-x+1/2,y+1/2,z+1/2'
'-y+3/4,-x+3/4,-z+1/4'
'y+3/4,x+3/4,z+1/4'
'-x,y+1/2,-z'
'x,-y+1/2,z'
'y+3/4,x+1/4,-z+3/4'
'-y+3/4,-x+1/4,z+3/4'
loop_
_atom_site_label
_atom_site_type_symbol
_atom_site_fract_x
_atom_site_fract_y
_atom_site_fract_z
_atom_site_occupancy
V1 V 0.000 0.250 0.375 1
Br1 Br 0.000 0.250 0.875 1
F1 F 0.000 0.000 0.500 1
# E above lowest polymorph   0.089 eV/atom